## As3Pt (PBE)

Data for a relaxed structure of As3Pt.

## Properties
ΔE_f ... 0.13 eV per atom
Density ... 8.71 Mg/m³
Density of states at the Fermi level ... 1.20 states/eV per cell
E above lowest polymorph ... 0.2096 eV per atom

Cell and atoms, written as extended XYZ:
```
4
Lattice="3.9978 0.0000 0.0000 0.0000 3.8524 0.0000 0.0000 0.0000 5.1954" Properties=species:S:1:pos:R:3 pbc="T T T"
As 0.0000 0.0000 0.3684
As 1.9989 0.0000 2.1622
As 1.9989 1.9262 3.9640
Pt 0.0000 1.9262 2.1644
```